1.
## Tm2B3Ru2 (PBE-GGA)

Data for an optimized crystal structure of Tm2B3Ru2.

The structure belongs to space group C2/m (No. 12); the cell edges are 10.512, 3.666 and 5.771 Å and the angles 90.00°, 120.43° and 90.00°. The asymmetric unit holds Tm at (0.125, 0.000, 0.275), B at (0.000, 0.500, 0.500), B at (0.098, 0.500, 0.872) and Ru at (0.165, 0.000, 0.795).

2.
## TmBRu2 (PBE-GGA)

Data for an optimized crystal structure of TmBRu2.

The structure belongs to space group P4/mmm (No. 123); the cell edges are 2.943, 2.943 and 6.578 Å and the angles 90.00°, 90.00° and 90.00°. The asymmetric unit holds Tm at (0.000, 0.000, 0.000), B at (0.000, 0.000, 0.500) and Ru at (0.500, 0.500, 0.311).

3.
## TmBRu4 (PBE-GGA)

Data for an optimized crystal structure of TmBRu4.

The structure belongs to space group Cmcm (No. 63); the cell edges are 4.244, 14.230 and 5.836 Å and the angles 90.00°, 90.00° and 90.00°. The asymmetric unit holds Tm at (0.000, 0.090, 0.250), B at (0.000, 0.394, 0.250), Ru at (0.000, 0.117, 0.750), Ru at (0.000, 0.296, 0.517) and Ru at (0.000, 0.500, 0.000).

4.
## TmB3Ru3 (PBE-GGA)

Data for an optimized crystal structure of TmB3Ru3.

The structure belongs to space group P2_13 (No. 198); the cell edges are 7.104, 7.104 and 7.104 Å and the angles 90.00°, 90.00° and 90.00°. The asymmetric unit holds Tm at (0.031, 0.469, 0.531), B at (0.000, 0.286, 0.837), Ru at (0.048, 0.548, 0.952), Ru at (0.217, 0.217, 0.217) and Ru at (0.222, 0.778, 0.278).

For the energy above the most stable polymorph in this dataset, the calculation gives 0.022 eV per atom.

Number 1: size of the total moment 0.000 μB per formula unit, DFT formation energy -0.32 eV per atom, E -99.5 eV for the cell shown. Number 2: size of the total moment 0.000 μB per formula unit, DFT formation energy 0.07 eV per atom, E -29.4 eV for the cell shown. Number 3: size of the total moment 0.000 μB per formula unit, DFT formation energy -0.19 eV per atom, E -197.6 eV for the cell shown. Number 4: size of the total moment 0.000 μB per formula unit, DFT formation energy -0.16 eV per atom, E -213.9 eV for the cell shown.